First-principles (PBE-GGA) data for a geometry-optimized LuMgZrSc structure, as listed in the Alexandria database.

```
data_LuMgZrSc
_cell_length_a 7.334
_cell_length_b 7.334
_cell_length_c 7.334
_cell_angle_alpha 90.00
_cell_angle_beta 90.00
_cell_angle_gamma 90.00
_space_group_name_H-M_alt 'F -4 3 m'
_space_group_IT_number 216
_space_group_name_Hall 'F -4 2 3'
loop_
_atom_site_label
_atom_site_type_symbol
_atom_site_fract_x
_atom_site_fract_y
_atom_site_fract_z
_atom_site_occupancy
Lu1 Lu 0.000 0.000 0.000 1
Mg1 Mg 0.250 0.250 0.750 1
Zr1 Zr 0.250 0.250 0.250 1
Sc1 Sc 0.000 0.000 0.500 1
```

Properties
Total DFT energy (no corrections), eV/atom: -5.119
Calculated density, g/cm³: 5.65
Formation energy, meV/atom: 130
V, Å³/cell: 395



First-principles (PBE-GGA) data for a geometry-optimized YTe2Rh structure, as listed in the Alexandria database.

```
data_YTe2Rh
_cell_length_a 5.473
_cell_length_b 5.473
_cell_length_c 16.041
_cell_angle_alpha 90.00
_cell_angle_beta 90.00
_cell_angle_gamma 90.00
_space_group_name_H-M_alt 'I -4 2 d'
_space_group_IT_number 122
_space_group_name_Hall 'I -4 2bw'
loop_
_atom_site_label
_atom_site_type_symbol
_atom_site_fract_x
_atom_site_fract_y
_atom_site_fract_z
_atom_site_occupancy
Y1 Y 0.000 0.000 0.000 1
Te1 Te 0.190 0.250 0.625 1
Rh1 Rh 0.000 0.000 0.500 1
```

Properties
Total DFT energy (no corrections), eV/atom: -5.543
Calculated density, g/cm³: 6.18
V, Å³/cell: 480
ΔE_f (raw), eV per atom: -0.5185



What did the second record say?
First-principles (PBE-GGA) data for a geometry-optimized YTe2Rh structure, as listed in the Alexandria database.

```
data_YTe2Rh
_cell_length_a 5.473
_cell_length_b 5.473
_cell_length_c 16.041
_cell_angle_alpha 90.00
_cell_angle_beta 90.00
_cell_angle_gamma 90.00
_space_group_name_H-M_alt 'I -4 2 d'
_space_group_IT_number 122
_space_group_name_Hall 'I -4 2bw'
loop_
_atom_site_label
_atom_site_type_symbol
_atom_site_fract_x
_atom_site_fract_y
_atom_site_fract_z
_atom_site_occupancy
Y1 Y 0.000 0.000 0.000 1
Te1 Te 0.190 0.250 0.625 1
Rh1 Rh 0.000 0.000 0.500 1
```

Properties
Total DFT energy (no corrections), eV/atom: -5.543
Calculated density, g/cm³: 6.18
V, Å³/cell: 480
ΔE_f (raw), eV per atom: -0.5185



- What is the formula in the second record?
  YTe2Rh



- The lowest V belongs to which entry?
  LuMgZrSc



What did the first record say?
First-principles (PBE-GGA) data for a geometry-optimized LuMgZrSc structure, as listed in the Alexandria database.

```
data_LuMgZrSc
_cell_length_a 7.334
_cell_length_b 7.334
_cell_length_c 7.334
_cell_angle_alpha 90.00
_cell_angle_beta 90.00
_cell_angle_gamma 90.00
_space_group_name_H-M_alt 'F -4 3 m'
_space_group_IT_number 216
_space_group_name_Hall 'F -4 2 3'
loop_
_atom_site_label
_atom_site_type_symbol
_atom_site_fract_x
_atom_site_fract_y
_atom_site_fract_z
_atom_site_occupancy
Lu1 Lu 0.000 0.000 0.000 1
Mg1 Mg 0.250 0.250 0.750 1
Zr1 Zr 0.250 0.250 0.250 1
Sc1 Sc 0.000 0.000 0.500 1
```

Properties
Total DFT energy (no corrections), eV/atom: -5.119
Calculated density, g/cm³: 5.65
Formation energy, meV/atom: 130
V, Å³/cell: 395